ZrZn2Cl after structural relaxation, computed with PBE.

Offset from the most stable computed form ... 209 meV/atom
Formation energy without anion corrections ... -235 meV per atom
Electronic total energy ... -3.471 eV/atom
Magnetic moment ... 0.000 μB/cell

Unit cell a=3.0236 b=4.3710 c=5.5607 alpha=90.00 beta=90.00 gamma=90.00
Last column: nearest neighbours and their distance in Å.
Sites, in units of the cell vectors:
Zr  0.0000  0.0000  0.0000  4 Cl 2.66
Zn  0.0000  0.5000  0.5000  4 Zn 2.66
Zn  0.5000  0.0000  0.5000  4 Zn 2.66
Cl  0.5000  0.5000  0.0000  4 Zr 2.66